(1)
Entry from the Alexandria database: Mg3BPd after structural relaxation (PBE-GGA).

Properties
The size of the total moment comes out at 0.0 μB/f.u. The mass density comes out at 3.56 g/cm3. The calculation puts the density of states at the Fermi level at 1.38 states/eV/f.u.

a = 4.4601 Å, b = 4.4601 Å, c = 4.4601 Å
α = 90.00°, β = 90.00°, γ = 90.00°
Space group Pm-3m (No. 221)
Asymmetric unit:
Mg 0.0000 0.0000 0.5000 [3 per cell]
B 0.0000 0.0000 0.0000 [1 per cell]
Pd 0.5000 0.5000 0.5000 [1 per cell]

---

(2)
Entry from the Alexandria database: Mg3BPd after structural relaxation (PBE-GGA).

Properties
The size of the total moment comes out at 0.0 μB/f.u. The mass density comes out at 2.68 g/cm3. The calculation puts the density of states at the Fermi level at 3.35 states/eV/f.u.

a = 4.9038 Å, b = 4.9038 Å, c = 4.9038 Å
α = 90.00°, β = 90.00°, γ = 90.00°
Space group Pm-3m (No. 221)
Asymmetric unit:
Mg 0.0000 0.0000 0.5000 [3 per cell]
B 0.5000 0.5000 0.5000 [1 per cell]
Pd 0.0000 0.0000 0.0000 [1 per cell]

---

Verdict on stability: (2) comes out at the bottom.

---

(1)
Entry from the Alexandria database: MgB3Pd after structural relaxation (PBE-GGA).

Properties
The size of the total moment comes out at 0.0 μB/f.u. The mass density comes out at 3.62 g/cm3. The calculation puts the density of states at the Fermi level at 3.39 states/eV/f.u.

a = 4.2143 Å, b = 4.2143 Å, c = 4.2143 Å
α = 90.00°, β = 90.00°, γ = 90.00°
Space group Pm-3m (No. 221)
Asymmetric unit:
Mg 0.0000 0.0000 0.0000 [1 per cell]
B 0.0000 0.0000 0.5000 [3 per cell]
Pd 0.5000 0.5000 0.5000 [1 per cell]

---

(2)
Entry from the Alexandria database: MgB3Pd after structural relaxation (PBE-GGA).

Properties
The size of the total moment comes out at 0.0 μB/f.u. The mass density comes out at 3.86 g/cm3. The calculation puts the density of states at the Fermi level at 3.60 states/eV/f.u.

a = 4.1262 Å, b = 4.1262 Å, c = 4.1262 Å
α = 90.00°, β = 90.00°, γ = 90.00°
Space group Pm-3m (No. 221)
Asymmetric unit:
Mg 0.0000 0.0000 0.0000 [1 per cell]
B 0.0000 0.5000 0.5000 [3 per cell]
Pd 0.5000 0.5000 0.5000 [1 per cell]

---

Verdict on stability: (1) comes out at the bottom.